1.
CsSmHg2Cl8: optimized geometry, PBE.

Lattice parameters (Å, degrees): 6.7216 7.1445 9.5824 110.41 96.22 99.05
Space group P-1 (No. 2)
Inequivalent atoms, fractional coordinates:
Cs  0.0000  0.0000  0.0000
Sm  0.0000  0.5000  0.5000
Hg  0.4654  0.3062  0.7749
Cl  0.1298  0.5339  0.2497
Cl  0.2242  0.8649  0.6774
Cl  0.3181  0.2973  0.5321
Cl  0.4390  0.7312  0.9908

Properties
Formation energy (no corrections) in meV/atom: -1367.5
Total magnetic moment in μB per atom: 0.000
Final energy in eV/f.u.: -37.4
V in Å³/atom: 34.9

---

2.
MnIrS4: optimized geometry, PBE.

Lattice parameters (Å, degrees): 4.5763 4.5763 11.5358 90.00 90.00 90.00
Space group I-4m2 (No. 119)
Inequivalent atoms, fractional coordinates:
Mn  0.0000  0.0000  0.0000
Ir  0.0000  0.5000  0.7500
S  0.0000  0.0000  0.1974
S  0.0000  0.5000  0.5451

Properties
Formation energy (no corrections) in meV/atom: -173.2
Total magnetic moment in μB per atom: 0.404
ΔE to the lowest computed polymorph in kcal/mol of atoms: 6.828
Final energy in eV/f.u.: -35.6
V in Å³/atom: 20.1

---

3.
LaMg8Cd4: optimized geometry, PBE.

Lattice parameters (Å, degrees): 10.0727 10.0727 5.9607 90.00 90.00 90.00
Space group I4/mmm (No. 139)
Inequivalent atoms, fractional coordinates:
La  0.0000  0.0000  0.0000
Mg  0.0000  0.2146  0.5000
Mg  0.0000  0.3506  0.0000
Cd  0.2500  0.2500  0.2500

Properties
Total magnetic moment in μB per atom: 0.000
Formation enthalpy at 0 K in meV per atom: -164
Final energy in eV/f.u.: -23.5
V in Å³/atom: 23.3

---

4.
Tb2SmDy4Mg: optimized geometry, PBE.

Lattice parameters (Å, degrees): 4.9515 4.9642 10.0523 90.00 90.00 90.00
Space group Pmmm (No. 47)
Inequivalent atoms, fractional coordinates:
Tb  0.0000  0.0000  0.0000
Tb  0.5000  0.5000  0.5000
Sm  0.0000  0.0000  0.5000
Dy  0.0000  0.5000  0.2466
Dy  0.5000  0.0000  0.2464
Mg  0.5000  0.5000  0.0000

Properties
Total magnetic moment in μB per atom: 0.000
Formation enthalpy at 0 K in meV per atom: 21
Final energy in eV/f.u.: -33.8
V in Å³/atom: 30.9